First-principles (PBE) data for a relaxed DyPb crystal, as listed in OQMD.

The space group is P-6m2 (No. 187) and the conventional cell measures 3.6186, 3.6186 and 5.1331 Å, with angles of 90.00, 90.00 and 120.00 degrees. The distinct sites, in fractional coordinates, are Dy at (0.0000, 0.0000, 0.0000) and Pb at (0.6667, 0.3333, 0.5000).

Its total energy is -8.952 eV per cell.